Record 1
{
  "formula": "EuHfOs4",
  "functional": "PBE",
  "state": "relaxed",
  "dos_at_fermi_per_ev_fu": 8.74,
  "delta_e_f_ev_per_atom": -0.050,
  "crystal_system": "cubic",
  "lattice_angstrom": [[5.3131, 0.0000, 0.0000], [2.6565, 4.6013, 0.0000], [2.6565, 1.5338, 4.3381]],
  "species": ["Os", "Os", "Os", "Os", "Hf", "Eu"],
  "fractional_positions": [[0.6253, 0.6253, 0.6253], [0.6253, 0.1240, 0.6253], [0.6253, 0.6253, 0.1240], [0.1240, 0.6253, 0.6253], [0.0000, 0.0000, 0.0000], [0.2500, 0.2500, 0.2500]]
}



Record 2
{
  "formula": "EuHfPb2",
  "functional": "PBE",
  "state": "relaxed",
  "dos_at_fermi_per_ev_fu": 2.80,
  "delta_e_f_ev_per_atom": -0.134,
  "crystal_system": "tetragonal",
  "lattice_angstrom": [[3.9410, 0.0000, 0.0000], [0.0000, 3.9410, 0.0000], [0.0000, 0.0000, 7.0862]],
  "species": ["Hf", "Pb", "Pb", "Eu"],
  "fractional_positions": [[0.5000, 0.5000, 0.0000], [0.0000, 0.0000, 0.7811], [0.0000, 0.0000, 0.2189], [0.5000, 0.5000, 0.5000]]
}



Record 3
{
  "formula": "Pm2EuHf",
  "functional": "PBE",
  "state": "relaxed",
  "dos_at_fermi_per_ev_fu": 5.72,
  "delta_e_f_ev_per_atom": 0.144,
  "crystal_system": "tetragonal",
  "lattice_angstrom": [[3.5153, 0.0000, 0.0000], [0.0000, 3.5153, 0.0000], [0.0000, 0.0000, 10.3223]],
  "species": ["Pm", "Pm", "Eu", "Hf"],
  "fractional_positions": [[0.0000, 0.0000, 0.2170], [0.0000, 0.0000, 0.7830], [0.5000, 0.5000, 0.5000], [0.5000, 0.5000, 0.0000]]
}



Record 4
{
  "formula": "EuHfPt2",
  "functional": "PBE",
  "state": "relaxed",
  "dos_at_fermi_per_ev_fu": 9.39,
  "delta_e_f_ev_per_atom": -1.014,
  "e_above_lowest_polymorph_mev_per_atom": 0.0,
  "crystal_system": "tetragonal",
  "lattice_angstrom": [[3.3658, 0.0000, 0.0000], [0.0000, 3.3658, 0.0000], [0.0000, 0.0000, 7.4033]],
  "species": ["Pt", "Pt", "Eu", "Hf"],
  "fractional_positions": [[0.0000, 0.0000, 0.7990], [0.0000, 0.0000, 0.2010], [0.5000, 0.5000, 0.5000], [0.5000, 0.5000, 0.0000]]
}